Below is a geometry-optimized In2HgIO8 structure, with properties calculated at the PBE level.

It has space group P2/m (No. 10), with a = 4.842 Å, b = 6.826 Å, c = 4.874 Å, α = 90.00°, β = 92.79° and γ = 90.00°. The distinct sites, in fractional coordinates, are In at (0.000, 0.248, 0.000), Hg at (0.500, 0.500, 0.500), I at (0.500, 0.000, 0.500), O at (0.193, 0.500, 0.183), O at (0.220, 0.000, 0.202) and O at (0.308, 0.205, 0.677).

The calculation puts the density of states at the Fermi level at 0.25 states/eV per atom. The value obtained for the magnetization is 0.0 Bohr magnetons per cell. The uncorrected energy comes out at -4.61 eV per atom.